Entry from Alexandria: a relaxed AcDyAgHg crystal (PBE).

a b c (Å): 3.809 3.809 7.786
angles (deg): 90.00 90.00 90.00
Positions (direct):
Ac 0.000 0.000 0.000
Dy 0.000 0.000 0.489
Ag 0.500 0.500 0.283
Hg 0.500 0.500 0.712

Calculated values
Its energy above the lowest structure with this stoichiometry is 0.0 kJ per mole of atoms. The calculation puts the formation energy at -0.37 eV per atom. The calculation puts the total energy at -3.334 eV/atom. The density of states at the Fermi level is 3.2 states/eV/f.u.